No. 1
An optimized crystal structure of RbGaAgBi. Source: Alexandria via LeMat-Bulk, functional PBE.

Geometry as POSCAR:
```
RbGaAgBi
1.0
4.5986 0.0000 0.0000
0.0000 4.5986 0.0000
0.0000 0.0000 13.4075
Rb Ga Ag Bi
2 2 2 2
direct
0.7500 0.7500 0.2856 Rb
0.2500 0.2500 0.7144 Rb
0.7500 0.2500 0.0000 Ga
0.2500 0.7500 0.0000 Ga
0.2500 0.7500 0.5000 Ag
0.7500 0.2500 0.5000 Ag
0.7500 0.7500 0.8714 Bi
0.2500 0.2500 0.1286 Bi
```

Properties
Calculated formation energy (eV/atom): 0.005
VASP energy (eV/atom): -2.68
SG: P4/nmm, No. 129
Magnetic moment (μB per formula unit): 0.00



No. 2
An optimized crystal structure of GaAgBi2Ru. Source: Alexandria via LeMat-Bulk, functional PBE.

Geometry as POSCAR:
```
GaAgBi2Ru
1.0
5.1673 0.0000 0.0000
0.0000 5.3609 0.0000
0.0000 0.0000 5.1673
Ru Ga Bi Ag
1 1 2 1
direct
0.0000 0.0000 0.0000 Ru
0.5000 0.5000 0.5000 Ga
0.0000 0.0000 0.5000 Bi
0.5000 0.0000 0.0000 Bi
0.0000 0.5000 0.0000 Ag
```

Properties
Calculated formation energy (eV/atom): 0.520
VASP energy (eV/atom): -4.06
SG: P4/mmm, No. 123
Magnetic moment (μB per formula unit): 0.00



No. 3
An optimized crystal structure of GaAgBiRu2. Source: Alexandria via LeMat-Bulk, functional PBE.

Geometry as POSCAR:
```
GaAgBiRu2
1.0
5.0846 0.0000 0.0000
0.0000 5.2156 0.0000
0.0000 0.0000 5.0846
Ru Ga Bi Ag
2 1 1 1
direct
0.0000 0.0000 0.5000 Ru
0.5000 0.0000 0.0000 Ru
0.5000 0.5000 0.5000 Ga
0.0000 0.0000 0.0000 Bi
0.0000 0.5000 0.0000 Ag
```

Properties
Calculated formation energy (eV/atom): 1.570
VASP energy (eV/atom): -4.09
SG: P4/mmm, No. 123
Magnetic moment (μB per formula unit): 3.11



No. 4
An optimized crystal structure of GaAg3Bi3S8. Source: Alexandria via LeMat-Bulk, functional PBE.

Geometry as POSCAR:
```
GaAg3Bi3S8
1.0
-5.3778 5.1116 -2.6347
-2.2865 -6.7549 3.3264
3.2372 5.6455 4.3454
Ga Ag Bi S
1 3 3 8
direct
0.0000 0.0000 0.5000 Ga
0.0000 0.0000 0.0000 Ag
0.0000 0.5000 0.0000 Ag
0.5000 0.5000 0.0000 Ag
0.5000 0.0000 0.5000 Bi
0.5000 0.5000 0.5000 Bi
0.0000 0.5000 0.5000 Bi
0.2462 0.4924 0.2397 S
0.7538 0.5076 0.7603 S
0.7716 0.5433 0.2630 S
0.2284 0.4567 0.7370 S
0.7713 0.9903 0.2628 S
0.2287 0.0097 0.7372 S
0.2189 0.9903 0.2628 S
0.7811 0.0097 0.7372 S
```

Properties
VASP energy (eV/atom): -4.00
SG: C2/m, No. 12
Magnetic moment (μB per formula unit): 0.00



No. 5
An optimized crystal structure of GaAgSnBi. Source: Alexandria via LeMat-Bulk, functional PBE.

Geometry as POSCAR:
```
GaAgSnBi
1.0
5.1484 0.0000 0.0000
2.5742 4.4586 0.0000
2.5742 1.4862 4.2036
Ga Bi Ag Sn
1 1 1 1
direct
0.0000 0.0000 0.0000 Ga
0.2500 0.2500 0.2500 Bi
0.5000 0.5000 0.5000 Ag
0.7500 0.7500 0.7500 Sn
```

Properties
Calculated formation energy (eV/atom): 0.129
VASP energy (eV/atom): -3.31
SG: F-43m, No. 216
Magnetic moment (μB per formula unit): 0.00



No. 6
An optimized crystal structure of TaGaAgBi2. Source: Alexandria via LeMat-Bulk, functional PBE.

Geometry as POSCAR:
```
TaGaAgBi2
1.0
5.4481 0.0000 0.0000
0.0000 5.4150 0.0000
0.0000 0.0000 5.4481
Ga Bi Ag Ta
1 2 1 1
direct
0.5000 0.5000 0.5000 Ga
0.0000 0.0000 0.5000 Bi
0.5000 0.0000 0.0000 Bi
0.0000 0.5000 0.0000 Ag
0.0000 0.0000 0.0000 Ta
```

Properties
Calculated formation energy (eV/atom): 0.700
VASP energy (eV/atom): -4.40
SG: P4/mmm, No. 123
Magnetic moment (μB per formula unit): 0.00



No. 7
An optimized crystal structure of Tl2GaAgBi2. Source: Alexandria via LeMat-Bulk, functional PBE.

Geometry as POSCAR:
```
Tl2GaAgBi2
1.0
6.4430 0.0000 0.0000
0.0000 6.7615 0.0000
-3.2215 -3.3808 8.2161
Tl Ga Ag Bi
4 2 2 4
direct
0.4033 0.1725 0.3450 Tl
0.5967 0.8275 0.6550 Tl
0.0583 0.3275 0.6550 Tl
0.9417 0.6725 0.3450 Tl
0.5000 0.7500 0.0000 Ga
0.5000 0.2500 0.0000 Ga
0.0000 0.7500 0.0000 Ag
0.0000 0.2500 0.0000 Ag
0.8446 0.1131 0.2263 Bi
0.3816 0.6131 0.2263 Bi
0.6184 0.3869 0.7737 Bi
0.1554 0.8869 0.7737 Bi
```

Properties
Calculated formation energy (eV/atom): 0.032
VASP energy (eV/atom): -3.03
SG: Ibam, No. 72
Magnetic moment (μB per formula unit): 0.00



No. 8
An optimized crystal structure of TlGa2AgBi. Source: Alexandria via LeMat-Bulk, functional PBE.

Geometry as POSCAR:
```
TlGa2AgBi
1.0
5.4261 0.0000 0.0000
0.0000 6.6310 0.0000
0.0000 0.0000 5.4261
Tl Ga Bi Ag
1 2 1 1
direct
0.0000 0.5000 0.0000 Tl
0.0000 0.0000 0.5000 Ga
0.5000 0.0000 0.0000 Ga
0.0000 0.0000 0.0000 Bi
0.5000 0.5000 0.5000 Ag
```

Properties
Calculated formation energy (eV/atom): 0.709
VASP energy (eV/atom): -2.32
SG: P4/mmm, No. 123
Magnetic moment (μB per formula unit): 0.00



No. 9
An optimized crystal structure of TlGa2AgBi. Source: Alexandria via LeMat-Bulk, functional PBE.

Geometry as POSCAR:
```
TlGa2AgBi
1.0
5.6193 0.0000 0.0000
0.0000 5.4465 0.0000
0.0000 0.0000 5.6193
Tl Ga Bi Ag
1 2 1 1
direct
0.5000 0.5000 0.5000 Tl
0.0000 0.0000 0.5000 Ga
0.5000 0.0000 0.0000 Ga
0.0000 0.0000 0.0000 Bi
0.0000 0.5000 0.0000 Ag
```

Properties
Calculated formation energy (eV/atom): 0.521
VASP energy (eV/atom): -2.51
SG: P4/mmm, No. 123
Magnetic moment (μB per formula unit): 0.00



No. 10
An optimized crystal structure of Ga2AgBiW. Source: Alexandria via LeMat-Bulk, functional PBE.

Geometry as POSCAR:
```
Ga2AgBiW
1.0
4.7837 0.0000 0.0000
0.0000 5.3813 0.0000
0.0000 0.0000 4.7837
Ag Ga Bi W
1 2 1 1
direct
0.0000 0.0000 0.0000 Ag
0.0000 0.0000 0.5000 Ga
0.5000 0.0000 0.0000 Ga
0.5000 0.5000 0.5000 Bi
0.0000 0.5000 0.0000 W
```

Properties
Calculated formation energy (eV/atom): 1.131
VASP energy (eV/atom): -4.02
SG: P4/mmm, No. 123
Magnetic moment (μB per formula unit): 2.92



No. 11
An optimized crystal structure of YGaAgBi2. Source: Alexandria via LeMat-Bulk, functional PBE.

Geometry as POSCAR:
```
YGaAgBi2
1.0
-1.7516 -0.7904 -5.3160
-0.8270 -4.5990 0.9563
-5.2844 1.2729 1.5519
Y Ga Bi Ag
1 1 2 1
direct
0.5000 0.5000 0.5000 Y
0.0000 0.5000 0.0000 Ga
0.0000 0.0000 0.5000 Bi
0.5000 0.0000 0.0000 Bi
0.0000 0.0000 0.0000 Ag
```

Properties
Calculated formation energy (eV/atom): 0.135
VASP energy (eV/atom): -3.89
SG: P4/mmm, No. 123
Magnetic moment (μB per formula unit): 0.00



No. 12
An optimized crystal structure of ZrGa2AgBi. Source: Alexandria via LeMat-Bulk, functional PBE.

Geometry as POSCAR:
```
ZrGa2AgBi
1.0
-1.5875 -2.5088 3.7444
2.6510 -4.6663 -2.0025
3.9273 1.1779 2.4543
Zr Ga Bi Ag
1 2 1 1
direct
0.5000 0.5000 0.5000 Zr
0.0000 0.0000 0.5000 Ga
0.5000 0.0000 0.0000 Ga
0.0000 0.5000 0.0000 Bi
0.0000 0.0000 0.0000 Ag
```

Properties
Calculated formation energy (eV/atom): 0.570
VASP energy (eV/atom): -3.70
SG: P4/mmm, No. 123
Magnetic moment (μB per formula unit): 0.00



No. 13
An optimized crystal structure of Zr2GaAgBi. Source: Alexandria via LeMat-Bulk, functional PBE.

Geometry as POSCAR:
```
Zr2GaAgBi
1.0
5.0545 0.0000 0.0000
0.0000 5.3800 0.0000
0.0000 0.0000 5.0545
Zr Ga Bi Ag
2 1 1 1
direct
0.0000 0.0000 0.5000 Zr
0.5000 0.0000 0.0000 Zr
0.0000 0.0000 0.0000 Ga
0.0000 0.5000 0.0000 Bi
0.5000 0.5000 0.5000 Ag
```

Properties
Calculated formation energy (eV/atom): 0.627
VASP energy (eV/atom): -4.74
SG: P4/mmm, No. 123
Magnetic moment (μB per formula unit): 0.00



No. 14
An optimized crystal structure of GdAg2Bi. Source: Alexandria via LeMat-Bulk, functional PBE.

Geometry as POSCAR:
```
GdAg2Bi
1.0
-4.0367 0.3187 2.7051
-0.5473 -4.3975 -0.2987
2.4232 -0.5516 3.6811
Gd Bi Ag
1 1 2
direct
0.5000 0.5000 0.5000 Gd
0.5000 0.0000 0.0000 Bi
0.0000 0.0000 0.5000 Ag
0.0000 0.5000 0.0000 Ag
```

Properties
Calculated formation energy (eV/atom): -0.312
VASP energy (eV/atom): -6.23
SG: P4/mmm, No. 123
Magnetic moment (μB per formula unit): 7.14



No. 15
An optimized crystal structure of Gd2AgBi. Source: Alexandria via LeMat-Bulk, functional PBE.

Geometry as POSCAR:
```
Gd2AgBi
1.0
4.0898 0.0000 0.0000
0.0000 5.1460 0.0000
0.0000 0.0000 5.1460
Gd Bi Ag
2 1 1
direct
0.0000 0.0000 0.5000 Gd
0.0000 0.5000 0.0000 Gd
0.5000 0.5000 0.5000 Bi
0.5000 0.0000 0.0000 Ag
```

Properties
Calculated formation energy (eV/atom): -0.534
VASP energy (eV/atom): -9.26
SG: P4/mmm, No. 123
Magnetic moment (μB per formula unit): 14.99



No. 16
An optimized crystal structure of Gd2AgBi. Source: Alexandria via LeMat-Bulk, functional PBE.

Geometry as POSCAR:
```
Gd2AgBi
1.0
-2.7669 -2.1721 0.5198
-1.1751 -2.0496 -2.6575
5.5736 -9.4290 2.4286
Gd Bi Ag
2 1 1
direct
0.0958 0.0958 0.7125 Gd
0.9042 0.9042 0.2875 Gd
0.0000 0.0000 0.0000 Bi
0.5000 0.5000 0.5000 Ag
```

Properties
Calculated formation energy (eV/atom): -0.001
VASP energy (eV/atom): -8.72
SG: R-3m, No. 166
Magnetic moment (μB per formula unit): 14.98



No. 17
An optimized crystal structure of GdAg4Bi. Source: Alexandria via LeMat-Bulk, functional PBE.

Geometry as POSCAR:
```
GdAg4Bi
1.0
-2.4901 -2.1817 4.6678
1.9304 -4.8949 2.2499
2.7691 0.0487 5.0079
Gd Bi Ag
1 1 4
direct
0.0000 0.0000 0.0000 Gd
0.2500 0.2500 0.2500 Bi
0.6254 0.6254 0.1238 Ag
0.6254 0.1238 0.6254 Ag
0.6254 0.6254 0.6254 Ag
0.1238 0.6254 0.6254 Ag
```

Properties
Calculated formation energy (eV/atom): -0.194
VASP energy (eV/atom): -5.09
SG: F-43m, No. 216
Magnetic moment (μB per formula unit): 7.11



No. 18
An optimized crystal structure of GdAgHgBi. Source: Alexandria via LeMat-Bulk, functional PBE.

Geometry as POSCAR:
```
GdAgHgBi
1.0
-0.4671 -5.0006 -1.5423
4.2576 -2.7040 -1.4710
1.8351 -3.8699 3.0429
Gd Bi Ag Hg
1 1 1 1
direct
0.0000 0.0000 0.0000 Gd
0.2500 0.2500 0.2500 Bi
0.5000 0.5000 0.5000 Ag
0.7500 0.7500 0.7500 Hg
```

Properties
Calculated formation energy (eV/atom): -0.299
VASP energy (eV/atom): -5.58
SG: F-43m, No. 216
Magnetic moment (μB per formula unit): 7.00



No. 19
An optimized crystal structure of GdHoAgBi. Source: Alexandria via LeMat-Bulk, functional PBE.

Geometry as POSCAR:
```
GdHoAgBi
1.0
5.3254 0.0000 0.0000
2.6627 4.6120 0.0000
2.6627 1.5373 4.3482
Gd Bi Ag Ho
1 1 1 1
direct
0.2500 0.2500 0.2500 Gd
0.0000 0.0000 0.0000 Bi
0.5000 0.5000 0.5000 Ag
0.7500 0.7500 0.7500 Ho
```

Properties
Calculated formation energy (eV/atom): -0.445
VASP energy (eV/atom): -6.79
SG: F-43m, No. 216
Magnetic moment (μB per formula unit): 8.15



No. 20
An optimized crystal structure of LiGdAgBi. Source: Alexandria via LeMat-Bulk, functional PBE.

Geometry as POSCAR:
```
LiGdAgBi
1.0
-2.4577 3.5859 -2.7814
-4.2192 -1.2642 -2.6898
-4.6300 1.7100 1.5079
Gd Bi Ag Li
1 1 1 1
direct
0.0000 0.0000 0.0000 Gd
0.7500 0.7500 0.7500 Bi
0.2500 0.2500 0.2500 Ag
0.5000 0.5000 0.5000 Li
```

Properties
Calculated formation energy (eV/atom): -0.454
VASP energy (eV/atom): -6.14
SG: F-43m, No. 216
Magnetic moment (μB per formula unit): 7.00